The following is a PBE calculation of La3PrRh after structural relaxation, from Alexandria.

Structure (CIF):
```
data_La3PrRh
_chemical_formula_sum 'La12 Pr4 Rh4'
_symmetry_space_group_name_H-M 'P 1 21/c 1'
_symmetry_Int_Tables_number 14
_symmetry_space_group_name_Hall '-P 2ybc'
_cell_length_a 8.649
_cell_length_b 7.325
_cell_length_c 10.644
_cell_angle_alpha 90.00
_cell_angle_beta 110.04
_cell_angle_gamma 90.00
loop_
_atom_site_label
_atom_site_fract_x
_atom_site_fract_y
_atom_site_fract_z
_atom_site_occupancy
La1 0.054 0.218 0.015 1
La2 0.280 0.506 0.876 1
La3 0.425 0.631 0.621 1
Pr1 0.185 0.527 0.272 1
Rh1 0.415 0.241 0.582 1
```

Summary:
Energy above the most stable polymorph in this dataset ... 0.000 eV/atom
DFT total energy ... -5.650 eV per atom
D(E_F) ... 24.24 states/eV per cell
Energy of formation from the pure elements ... -0.267 eV per atom
Spin magnetization ... 0.0 μB per cell